1.
Crystalline MgZrZn2 at its relaxed geometry. Source: Alexandria, functional PBE-GGA.

Properties
* calculated formation energy: -0.14 eV per atom
* total DFT energy (no corrections): -13.27 eV per cell

a b c (Å): 2.9060 3.9601 6.2863
angles (deg): 90.00 90.00 90.00
With the nearest neighbours (Å) after each atom.
Sites, in units of the cell vectors:
Mg: 0.0000 0.0000 0.0000  8 Zn 2.88, 2 Mg 2.91, 2 Zr 3.14
Zr: 0.0000 0.0000 0.5000  2 Zr 2.91, 8 Zn 2.95, 2 Mg 3.14
Zn: 0.5000 0.5000 0.2404  4 Mg 2.88, 3 Zn 2.91-3.02, 4 Zr 2.95
Zn: 0.5000 0.5000 0.7596  4 Mg 2.88, 3 Zn 2.91-3.02, 4 Zr 2.95

2.
Crystalline TbTh2Co6 at its relaxed geometry. Source: Alexandria, functional PBE-GGA.

Properties
* calculated formation energy: -0.21 eV per atom
* total DFT energy (no corrections): -64.01 eV per cell

a b c (Å): 6.8152 6.8152 3.9834
angles (deg): 90.00 90.00 120.00
With the nearest neighbours (Å) after each atom.
Sites, in units of the cell vectors:
Tb: 0.0000 0.0000 0.0000  12 Co 3.02
Th: 0.3333 0.6667 0.0000  12 Co 3.02
Th: 0.6667 0.3333 0.0000  12 Co 3.02
Co: 0.0000 0.3334 0.5000  3 Co 2.27
Co: 0.0000 0.6666 0.5000  3 Co 2.27
Co: 0.3334 0.0000 0.5000  3 Co 2.27
Co: 0.3334 0.3334 0.5000  3 Co 2.27
Co: 0.6666 0.0000 0.5000  3 Co 2.27
Co: 0.6666 0.6666 0.5000  3 Co 2.27

3.
Crystalline K2Rb4Bi at its relaxed geometry. Source: Alexandria, functional PBE-GGA.

Properties
* calculated formation energy: -0.05 eV per atom
* total DFT energy (no corrections): -10.29 eV per cell

a b c (Å): 12.2555 12.2555 12.2555
angles (deg): 145.62 145.62 49.41
With the nearest neighbours (Å) after each atom.
Sites, in units of the cell vectors:
K: 0.1364 0.1364 0.0000  5 Rb 4.48-4.73
K: 0.8636 0.8636 0.0000  5 Rb 4.48-4.73
Rb: 0.0000 0.5000 0.5000  2 Bi 3.62
Rb: 0.3377 0.3377 0.0000  1 Bi 3.61
Rb: 0.5000 0.0000 0.5000  2 Bi 3.62
Rb: 0.6623 0.6623 0.0000  1 Bi 3.61
Bi: 0.5000 0.5000 0.0000  6 Rb 3.61-3.62

4.
Crystalline Th6SnBi5 at its relaxed geometry. Source: Alexandria, functional PBE-GGA.

Properties
* calculated formation energy: -0.56 eV per atom
* total DFT energy (no corrections): -74.67 eV per cell

a b c (Å): 7.9468 7.9468 7.9507
angles (deg): 99.59 99.59 120.05
With the nearest neighbours (Å) after each atom.
Sites, in units of the cell vectors:
Th: 0.0809 0.4060 0.7439  1 Sn 3.16, 5 Bi 3.24-3.29
Th: 0.2416 0.2416 0.2526  1 Sn 3.17, 5 Bi 3.25-3.32
Th: 0.4060 0.0809 0.7439  1 Sn 3.16, 5 Bi 3.24-3.29
Th: 0.5940 0.9191 0.2561  1 Sn 3.16, 5 Bi 3.24-3.29
Th: 0.7584 0.7584 0.7474  1 Sn 3.17, 5 Bi 3.25-3.32
Th: 0.9191 0.5940 0.2561  1 Sn 3.16, 5 Bi 3.24-3.29
Sn: 0.0000 0.0000 0.5000  6 Th 3.16-3.17
Bi: 0.1707 0.8293 0.0000  6 Th 3.24-3.29
Bi: 0.3344 0.6656 0.5000  6 Th 3.25
Bi: 0.5000 0.5000 0.0000  6 Th 3.25-3.32
Bi: 0.6656 0.3344 0.5000  6 Th 3.25
Bi: 0.8293 0.1707 0.0000  6 Th 3.24-3.29